# HfBPRhCl | Alexandria via LeMat-Bulk | GGA-PBE | relaxed
data_HfBPRhCl
_chemical_formula_sum 'Hf3 B3 P3 Rh3 Cl3'
_symmetry_space_group_name_H-M 'R 3 m'
_symmetry_Int_Tables_number 160
_symmetry_space_group_name_Hall 'R 3 -2"'
_cell_length_a 3.3186
_cell_length_b 3.3186
_cell_length_c 24.8701
_cell_angle_alpha 90.00
_cell_angle_beta 90.00
_cell_angle_gamma 120.00
loop_
_atom_site_label
_atom_site_fract_x
_atom_site_fract_y
_atom_site_fract_z
Hf1 0.0000 0.0000 0.0000
B1 0.0000 0.0000 0.1081
P1 0.0000 0.0000 0.3986
Rh1 0.0000 0.0000 0.4862
Cl1 0.0000 0.0000 0.5918
# Fermi-level density of states, states/eV/cell: 3.45
# Energy above the most stable polymorph in this dataset, meV/atom: 118
# Formation energy (no corrections), eV/atom: -0.52

***

# Ac2NdSmSe6 | Alexandria via LeMat-Bulk | GGA-PBE | relaxed
data_Ac2NdSmSe6
_chemical_formula_sum 'Ac6 Nd3 Sm3 Se18'
_symmetry_space_group_name_H-M 'R 3'
_symmetry_Int_Tables_number 146
_symmetry_space_group_name_Hall 'R 3'
_cell_length_a 7.6807
_cell_length_b 7.6807
_cell_length_c 19.9594
_cell_angle_alpha 90.00
_cell_angle_beta 90.00
_cell_angle_gamma 120.00
loop_
_atom_site_label
_atom_site_fract_x
_atom_site_fract_y
_atom_site_fract_z
Ac1 0.0000 0.0000 0.0000
Ac2 0.0000 0.0000 0.4995
Nd1 0.0000 0.0000 0.2085
Sm1 0.0000 0.0000 0.7077
Se1 0.0535 0.6977 0.7767
Se2 0.0549 0.3603 0.2773
# Fermi-level density of states, states/eV/cell: 0.00
# Formation energy (no corrections), eV/atom: -1.91

***

# Cs2Be2Pb | Alexandria via LeMat-Bulk | GGA-PBE | relaxed
data_Cs2Be2Pb
_chemical_formula_sum 'Cs4 Be4 Pb2'
_symmetry_space_group_name_H-M 'I 4/m m m'
_symmetry_Int_Tables_number 139
_symmetry_space_group_name_Hall '-I 4 2'
_cell_length_a 3.376
_cell_length_b 3.376
_cell_length_c 26.576
_cell_angle_alpha 90.00
_cell_angle_beta 90.00
_cell_angle_gamma 90.00
loop_
_atom_site_label
_atom_site_fract_x
_atom_site_fract_y
_atom_site_fract_z
Cs1 0.000 0.000 0.119
Be1 0.000 0.500 0.250
Pb1 0.000 0.000 0.500
# Formation energy, kJ/mol of formula units: 320
# Fermi-level density of states, states/eV/cell: 5.40
# Energy above the most stable polymorph in this dataset, meV/atom: 0

***

# Pr8Zn2Ni | Alexandria via LeMat-Bulk | GGA-PBE | relaxed
data_Pr8Zn2Ni
_chemical_formula_sum 'Pr16 Zn4 Ni2'
_symmetry_space_group_name_H-M 'C 1 2/m 1'
_symmetry_Int_Tables_number 12
_cell_length_a 15.249
_cell_length_b 8.864
_cell_length_c 5.055
_cell_angle_alpha 90.00
_cell_angle_beta 109.24
_cell_angle_gamma 90.00
loop_
_symmetry_equiv_pos_as_xyz
'x,y,z'
'-x,-y,-z'
'-x,y,-z'
'x,-y,z'
'x+1/2,y+1/2,z'
'-x+1/2,-y+1/2,-z'
'-x+1/2,y+1/2,-z'
'x+1/2,-y+1/2,z'
loop_
_atom_site_label
_atom_site_fract_x
_atom_site_fract_y
_atom_site_fract_z
Pr1 0.000 0.167 0.000
Pr2 0.124 0.500 0.125
Pr3 0.159 0.221 0.659
Zn1 0.201 0.000 0.201
Ni1 0.000 0.500 0.500
# Formation energy, kJ/mol of formula units: -7
# Fermi-level density of states, states/eV/cell: 27.29
# Energy above the most stable polymorph in this dataset, meV/atom: 107

***

# BeNiOs2 | Alexandria via LeMat-Bulk | GGA-PBE | relaxed
data_BeNiOs2
_chemical_formula_sum 'Be2 Ni2 Os4'
_symmetry_space_group_name_H-M 'C m m m'
_symmetry_Int_Tables_number 65
_symmetry_space_group_name_Hall '-C 2 2'
_cell_length_a 2.752
_cell_length_b 4.466
_cell_length_c 8.180
_cell_angle_alpha 90.00
_cell_angle_beta 90.00
_cell_angle_gamma 90.00
loop_
_atom_site_label
_atom_site_fract_x
_atom_site_fract_y
_atom_site_fract_z
Be1 0.000 0.000 0.000
Ni1 0.000 0.000 0.500
Os1 0.000 0.500 0.237
# Formation energy, kJ/mol of formula units: 106
# Fermi-level density of states, states/eV/cell: 8.74

***

# Na2ZnS2 | Alexandria via LeMat-Bulk | GGA-PBE | relaxed
data_Na2ZnS2
_chemical_formula_sum 'Na8 Zn4 S8'
_symmetry_space_group_name_H-M 'I b a m'
_symmetry_Int_Tables_number 72
_symmetry_space_group_name_Hall '-I 2 2c'
_cell_length_a 6.460
_cell_length_b 11.170
_cell_length_c 5.956
_cell_angle_alpha 90.00
_cell_angle_beta 90.00
_cell_angle_gamma 90.00
loop_
_atom_site_label
_atom_site_fract_x
_atom_site_fract_y
_atom_site_fract_z
Na1 0.151 0.142 0.000
Zn1 0.000 0.500 0.250
S1 0.214 0.389 0.000
# Fermi-level density of states, states/eV/cell: 0.00
# Formation energy (no corrections), eV/atom: -0.98

***

# Pr2Nd3Ho5 | Alexandria via LeMat-Bulk | GGA-PBE | relaxed
data_Pr2Nd3Ho5
_chemical_formula_sum 'Pr8 Nd12 Ho20'
_symmetry_space_group_name_H-M 'I b a m'
_symmetry_Int_Tables_number 72
_symmetry_space_group_name_Hall '-I 2 2c'
_cell_length_a 9.526
_cell_length_b 21.959
_cell_length_c 6.861
_cell_angle_alpha 90.00
_cell_angle_beta 90.00
_cell_angle_gamma 90.00
loop_
_atom_site_label
_atom_site_fract_x
_atom_site_fract_y
_atom_site_fract_z
Pr1 0.105 0.127 0.000
Nd1 0.000 0.000 0.250
Nd2 0.248 0.368 0.000
Ho1 0.000 0.252 0.250
Ho2 0.000 0.500 0.250
Ho3 0.085 0.375 0.500
# Formation energy, kJ/mol of formula units: 370
# Fermi-level density of states, states/eV/cell: 60.49
# Energy above the most stable polymorph in this dataset, meV/atom: 205

***

# Li2HgRh2 | Alexandria via LeMat-Bulk | GGA-PBE | relaxed
data_Li2HgRh2
_chemical_formula_sum 'Li4 Hg2 Rh4'
_symmetry_space_group_name_H-M 'I 4/m m m'
_symmetry_Int_Tables_number 139
_symmetry_space_group_name_Hall '-I 4 2'
_cell_length_a 3.553
_cell_length_b 3.553
_cell_length_c 13.668
_cell_angle_alpha 90.00
_cell_angle_beta 90.00
_cell_angle_gamma 90.00
loop_
_atom_site_label
_atom_site_fract_x
_atom_site_fract_y
_atom_site_fract_z
Li1 0.000 0.000 0.105
Hg1 0.000 0.000 0.500
Rh1 0.000 0.500 0.250
# Formation energy, kJ/mol of formula units: 46
# Fermi-level density of states, states/eV/cell: 10.10
# Energy above the most stable polymorph in this dataset, meV/atom: 88

***

Question: Which value of Fermi-level density of states does entry 6 give?
Answer: 0.00 states/eV/cell

***

Question: Which formula does entry 3 have?
Answer: Cs2Be2Pb

***

Question: What is the formula in the sixth record?
Answer: Na2ZnS2

***

Question: Which value of Fermi-level density of states does entry 3 give?
Answer: 5.40 states/eV/cell